Record 1
The following is a PBE-GGA calculation of a relaxed Sr2In2Ag15 crystal, from Alexandria.

Properties
space-group type = R-3m (166)
calculated formation energy = -0.119 eV/atom

abc: 7.4424 7.4424 7.4424
angles: 82.98 82.98 82.98
With the nearest neighbours (Å) after each atom.
Sites, in units of the cell vectors:
Sr: 0.1517 0.1517 0.1517  15 Ag 3.43-3.77, 1 In 3.52
Sr: 0.8483 0.8483 0.8483  15 Ag 3.43-3.77, 1 In 3.52
In: 0.3968 0.3968 0.3968  1 In 2.97, 6 Ag 2.99-3.07
In: 0.6032 0.6032 0.6032  1 In 2.97, 6 Ag 2.99-3.07
Ag: 0.0000 0.5000 0.5000  8 Ag 2.84-2.87, 2 In 2.99
Ag: 0.1529 0.1529 0.6583  8 Ag 2.84-2.99, 1 In 3.07
Ag: 0.1529 0.6583 0.1529  8 Ag 2.84-2.99, 1 In 3.07
Ag: 0.1928 0.5000 0.8072  8 Ag 2.84-3.03
Ag: 0.1928 0.8072 0.5000  8 Ag 2.84-3.03
Ag: 0.3417 0.8471 0.8471  8 Ag 2.84-2.99, 1 In 3.07
Ag: 0.5000 0.0000 0.5000  8 Ag 2.84-2.87, 2 In 2.99
Ag: 0.5000 0.1928 0.8072  8 Ag 2.84-3.03
Ag: 0.5000 0.5000 0.0000  8 Ag 2.84-2.87, 2 In 2.99
Ag: 0.5000 0.8072 0.1928  8 Ag 2.84-3.03
Ag: 0.6583 0.1529 0.1529  8 Ag 2.84-2.99, 1 In 3.07
Ag: 0.8072 0.1928 0.5000  8 Ag 2.84-3.03
Ag: 0.8072 0.5000 0.1928  8 Ag 2.84-3.03
Ag: 0.8471 0.3417 0.8471  8 Ag 2.84-2.99, 1 In 3.07
Ag: 0.8471 0.8471 0.3417  8 Ag 2.84-2.99, 1 In 3.07

=====

Record 2
The following is a PBE-GGA calculation of a relaxed Sr2In5Ag4 crystal, from Alexandria.

Properties
space-group type = Immm (71)
calculated formation energy = -0.238 eV/atom

abc: 7.3740 7.3740 7.3740
angles: 130.87 102.20 97.72
With the nearest neighbours (Å) after each atom.
Sites, in units of the cell vectors:
Sr: 0.2125 0.2125 0.0000  6 Ag 3.16-3.43
Sr: 0.7875 0.7875 0.0000  6 Ag 3.16-3.43
In: 0.0000 0.5000 0.5000  4 Ag 2.82
In: 0.3175 0.2500 0.5676  4 Ag 2.91-3.18, 2 In 3.06-3.07
In: 0.3175 0.7500 0.0675  4 Ag 2.91-3.18, 2 In 3.06-3.07
In: 0.6825 0.2500 0.9325  4 Ag 2.91-3.18, 2 In 3.06-3.07
In: 0.6825 0.7500 0.4324  4 Ag 2.91-3.18, 2 In 3.06-3.07
Ag: 0.0843 0.7459 0.3383  3 In 2.82-2.91, 1 Ag 2.99
Ag: 0.4076 0.7459 0.6617  3 In 2.82-2.91, 1 Ag 2.99
Ag: 0.5924 0.2541 0.3383  3 In 2.82-2.91, 1 Ag 2.99
Ag: 0.9157 0.2541 0.6617  3 In 2.82-2.91, 1 Ag 2.99

=====

Record 3
The following is a PBE-GGA calculation of a relaxed Sr11In9Ag4 crystal, from Alexandria.

Properties
space-group type = Cmmm (65)
calculated formation energy = -0.381 eV/atom

abc: 14.2441 14.2441 4.0564
angles: 90.00 90.00 112.69
With the nearest neighbours (Å) after each atom.
Sites, in units of the cell vectors:
Sr: 0.0000 0.0000 0.0000  8 In 3.51, 2 Sr 3.89
Sr: 0.0610 0.4098 0.0000  2 Ag 3.18, 2 In 3.49
Sr: 0.1639 0.8361 0.0000  8 In 3.56-3.82, 3 Sr 3.72-3.89
Sr: 0.3011 0.3011 0.0000  4 Ag 3.23, 4 In 3.56
Sr: 0.3703 0.6297 0.0000  4 Ag 3.23, 4 In 3.54
Sr: 0.4098 0.0610 0.0000  2 Ag 3.18, 2 In 3.49
Sr: 0.5902 0.9390 0.0000  2 Ag 3.18, 2 In 3.49
Sr: 0.6297 0.3703 0.0000  4 Ag 3.23, 4 In 3.54
Sr: 0.6989 0.6989 0.0000  4 Ag 3.23, 4 In 3.56
Sr: 0.8361 0.1639 0.0000  8 In 3.56-3.82, 3 Sr 3.72-3.89
Sr: 0.9390 0.5902 0.0000  2 Ag 3.18, 2 In 3.49
In: 0.0787 0.2181 0.5000  1 Ag 3.21, 1 In 3.31, 6 Sr 3.49-3.56
In: 0.1675 0.6320 0.5000  1 In 3.17, 1 Ag 3.21, 2 Sr 3.54
In: 0.2181 0.0787 0.5000  1 Ag 3.21, 1 In 3.31, 6 Sr 3.49-3.56
In: 0.3680 0.8325 0.5000  1 In 3.17, 1 Ag 3.21, 2 Sr 3.54
In: 0.5000 0.5000 0.5000  4 Ag 3.42, 8 Sr 3.68-3.74
In: 0.6320 0.1675 0.5000  1 In 3.17, 1 Ag 3.21, 2 Sr 3.54
In: 0.7819 0.9213 0.5000  1 Ag 3.21, 1 In 3.31, 6 Sr 3.49-3.56
In: 0.8325 0.3680 0.5000  1 In 3.17, 1 Ag 3.21, 2 Sr 3.54
In: 0.9213 0.7819 0.5000  1 Ag 3.21, 1 In 3.31, 6 Sr 3.49-3.56
Ag: 0.2443 0.4479 0.5000  6 Sr 3.18-3.23, 3 In 3.21-3.42
Ag: 0.4479 0.2443 0.5000  6 Sr 3.18-3.23, 3 In 3.21-3.42
Ag: 0.5521 0.7557 0.5000  6 Sr 3.18-3.23, 3 In 3.21-3.42
Ag: 0.7557 0.5521 0.5000  6 Sr 3.18-3.23, 3 In 3.21-3.42

=====

Record 4
The following is a PBE-GGA calculation of a relaxed SrIn2Ag crystal, from Alexandria.

Properties
space-group type = Cm (8)
calculated formation energy = -0.289 eV/atom

abc: 4.8204 4.8204 6.4308
angles: 111.83 111.83 60.01
With the nearest neighbours (Å) after each atom.
Sites, in units of the cell vectors:
Sr: 0.0000 0.0000 0.0000  4 Ag 3.37-3.71, 7 In 3.48-3.71
In: 0.5437 0.5437 0.6329  3 Ag 2.80
In: 0.7872 0.7872 0.3609  3 Ag 3.06, 3 In 3.20
Ag: 0.1930 0.1930 0.5799  6 In 2.80-3.06

=====

Record 5
The following is a PBE-GGA calculation of a relaxed SrInAg3 crystal, from Alexandria.

Properties
space-group type = Pnma (62)
calculated formation energy = -0.197 eV/atom

abc: 6.4236 12.8410 6.0716
angles: 90.00 90.00 90.00
With the nearest neighbours (Å) after each atom.
Sites, in units of the cell vectors:
Sr: 0.0000 0.0000 0.0000  8 Ag 3.33-3.49
Sr: 0.0000 0.5000 0.0000  8 Ag 3.33-3.49
Sr: 0.5000 0.0000 0.5000  8 Ag 3.33-3.49
Sr: 0.5000 0.5000 0.5000  8 Ag 3.33-3.49
In: 0.2492 0.2500 0.2490  6 Ag 2.88-3.04, 2 In 3.21
In: 0.2508 0.7500 0.7490  6 Ag 2.88-3.04, 2 In 3.21
In: 0.7492 0.2500 0.2510  6 Ag 2.88-3.04, 2 In 3.21
In: 0.7508 0.7500 0.7510  6 Ag 2.88-3.04, 2 In 3.21
Ag: 0.0001 0.1067 0.5007  3 Ag 2.74-2.87, 2 In 2.88
Ag: 0.0001 0.3933 0.5007  3 Ag 2.74-2.87, 2 In 2.88
Ag: 0.9999 0.6067 0.4993  3 Ag 2.74-2.87, 2 In 2.88
Ag: 0.9999 0.8933 0.4993  3 Ag 2.74-2.87, 2 In 2.88
Ag: 0.2492 0.7500 0.2492  6 Ag 2.87-3.21, 2 In 3.03-3.04
Ag: 0.2508 0.2500 0.7492  6 Ag 2.87-3.21, 2 In 3.03-3.04
Ag: 0.5001 0.1067 0.9993  3 Ag 2.74-2.87, 2 In 2.88
Ag: 0.5001 0.3933 0.9993  3 Ag 2.74-2.87, 2 In 2.88
Ag: 0.4999 0.6067 0.0007  3 Ag 2.74-2.87, 2 In 2.88
Ag: 0.4999 0.8933 0.0007  3 Ag 2.74-2.87, 2 In 2.88
Ag: 0.7492 0.7500 0.2508  6 Ag 2.87-3.21, 2 In 3.03-3.04
Ag: 0.7508 0.2500 0.7508  6 Ag 2.87-3.21, 2 In 3.03-3.04

=====

Record 6
The following is a PBE-GGA calculation of a relaxed Sr2In5Ag crystal, from Alexandria.

Properties
space-group type = Cmcm (63)
calculated formation energy = -0.330 eV/atom

abc: 9.6164 9.6164 10.4207
angles: 90.00 90.00 151.15
With the nearest neighbours (Å) after each atom.
Sites, in units of the cell vectors:
Sr: 0.0000 0.0000 0.0000  10 In 3.57-3.97, 4 Ag 3.67
Sr: 0.0000 0.0000 0.5000  10 In 3.57-3.97, 4 Ag 3.67
Sr: 0.1954 0.8046 0.7500  10 In 3.44-3.69, 2 Ag 3.59
Sr: 0.8046 0.1954 0.2500  10 In 3.44-3.69, 2 Ag 3.59
In: 0.1947 0.8053 0.1038  4 In 2.97-3.15
In: 0.1947 0.8053 0.3962  4 In 2.97-3.15
In: 0.3592 0.6408 0.0339  1 Ag 2.80, 3 In 2.97-3.07
In: 0.3592 0.6408 0.4661  1 Ag 2.80, 3 In 2.97-3.07
In: 0.4035 0.5965 0.7500  1 Ag 2.76, 2 In 3.07
In: 0.5965 0.4035 0.2500  1 Ag 2.76, 2 In 3.07
In: 0.6408 0.3592 0.5339  1 Ag 2.80, 3 In 2.97-3.07
In: 0.6408 0.3592 0.9661  1 Ag 2.80, 3 In 2.97-3.07
In: 0.8053 0.1947 0.6038  4 In 2.97-3.15
In: 0.8053 0.1947 0.8962  4 In 2.97-3.15
Ag: 0.4484 0.5516 0.2500  3 In 2.76-2.80
Ag: 0.5516 0.4484 0.7500  3 In 2.76-2.80

=====

Record 7
The following is a PBE-GGA calculation of a relaxed Sr12InAg6 crystal, from Alexandria.

Properties
space-group type = Im-3 (204)
calculated formation energy = -0.228 eV/atom

abc: 9.7639 9.7639 9.7639
angles: 109.47 109.47 109.47
With the nearest neighbours (Å) after each atom.
Sites, in units of the cell vectors:
Sr: 0.1125 0.2939 0.8186  3 Ag 3.19-3.40
Sr: 0.1814 0.4754 0.2939  3 Ag 3.19-3.40
Sr: 0.1814 0.8875 0.7061  3 Ag 3.19-3.40
Sr: 0.2939 0.1814 0.4754  3 Ag 3.19-3.40
Sr: 0.2939 0.8186 0.1125  3 Ag 3.19-3.40
Sr: 0.4754 0.2939 0.1814  3 Ag 3.19-3.40
Sr: 0.5246 0.7061 0.8186  3 Ag 3.19-3.40
Sr: 0.7061 0.1814 0.8875  3 Ag 3.19-3.40
Sr: 0.7061 0.8186 0.5246  3 Ag 3.19-3.40
Sr: 0.8186 0.1125 0.2939  3 Ag 3.19-3.40
Sr: 0.8186 0.5246 0.7061  3 Ag 3.19-3.40
Sr: 0.8875 0.7061 0.1814  3 Ag 3.19-3.40
In: 0.0000 0.0000 0.0000  12 Sr 3.89
Ag: 0.1249 0.5000 0.6249  1 Ag 2.82
Ag: 0.3751 0.8751 0.5000  1 Ag 2.82
Ag: 0.5000 0.3751 0.8751  1 Ag 2.82
Ag: 0.5000 0.6249 0.1249  1 Ag 2.82
Ag: 0.6249 0.1249 0.5000  1 Ag 2.82
Ag: 0.8751 0.5000 0.3751  1 Ag 2.82

=====

Record 8
The following is a PBE-GGA calculation of a relaxed Sr4InAg3 crystal, from Alexandria.

Properties
space-group type = Pmm2 (25)
calculated formation energy = -0.327 eV/atom

abc: 4.3725 4.9494 12.2267
angles: 90.00 90.00 90.00
With the nearest neighbours (Å) after each atom.
Sites, in units of the cell vectors:
Sr: 0.0000 0.0000 0.0000  6 Ag 3.34-3.41, 1 In 3.57
Sr: 0.0000 0.5000 0.2758  7 Ag 3.34-3.55
Sr: 0.5000 0.0000 0.4884  5 Ag 3.44, 2 In 3.46
Sr: 0.5000 0.5000 0.7816  4 In 3.42, 3 Ag 3.43-3.52
In: 0.0000 0.0000 0.7078  2 Ag 3.02
Ag: 0.0000 0.5000 0.5658  2 In 3.02
Ag: 0.5000 0.0000 0.2067  2 Ag 2.99, 2 Sr 3.34
Ag: 0.5000 0.5000 0.0691  2 Ag 2.99, 2 Sr 3.34

=====

Record 9
The following is a PBE-GGA calculation of a relaxed Sr2In5Ag3 crystal, from Alexandria.

Properties
space-group type = Ibam (72)
calculated formation energy = -0.294 eV/atom

abc: 9.6088 9.6088 9.6088
angles: 98.04 95.10 140.48
With the nearest neighbours (Å) after each atom.
Sites, in units of the cell vectors:
Sr: 0.1296 0.2444 0.3740  6 In 3.43-3.84, 4 Ag 3.50-3.58
Sr: 0.3704 0.7444 0.1149  6 In 3.43-3.84, 4 Ag 3.50-3.58
Sr: 0.6296 0.2556 0.8851  6 In 3.43-3.84, 4 Ag 3.50-3.58
Sr: 0.8704 0.7556 0.6260  6 In 3.43-3.84, 4 Ag 3.50-3.58
In: 0.0035 0.7500 0.2535  3 Ag 2.89-3.20, 2 In 3.00
In: 0.1123 0.6448 0.7571  3 Ag 2.75-2.84, 2 In 3.00
In: 0.2500 0.2500 0.0000  4 Ag 2.88
In: 0.3877 0.1448 0.5325  3 Ag 2.75-2.84, 2 In 3.00
In: 0.4965 0.7500 0.7465  3 Ag 2.89-3.20, 2 In 3.00
In: 0.5035 0.2500 0.2535  3 Ag 2.89-3.20, 2 In 3.00
In: 0.6123 0.8552 0.4675  3 Ag 2.75-2.84, 2 In 3.00
In: 0.7500 0.7500 0.0000  4 Ag 2.88
In: 0.8877 0.3552 0.2429  3 Ag 2.75-2.84, 2 In 3.00
In: 0.9965 0.2500 0.7465  3 Ag 2.89-3.20, 2 In 3.00
Ag: 0.1259 0.8626 0.9886  5 In 2.75-2.89
Ag: 0.2500 0.7500 0.5000  4 In 2.84
Ag: 0.3741 0.3626 0.7367  5 In 2.75-2.89
Ag: 0.6259 0.6374 0.2633  5 In 2.75-2.89
Ag: 0.7500 0.2500 0.5000  4 In 2.84
Ag: 0.8741 0.1374 0.0114  5 In 2.75-2.89